The following is a DFT calculation (SCAN) of CuRu2Se at its PBEsol-relaxed geometry.

Geometry as POSCAR:
```
CuRu2Se
1.0
0.000 3.023 3.023
3.023 0.000 3.023
3.023 3.023 0.000
Cu Ru Se
1 2 1
direct
0.000 0.000 0.000
0.250 0.250 0.250
0.500 0.500 0.500
0.750 0.750 0.750
```

Output
E (eV per formula unit): -102.82
Magnetic moment (μB per cell): 0.00